Entry from Alexandria via LeMat-Bulk: crystalline Y3AlTl4Te8 at its relaxed geometry (PBE-GGA).

It has space group R-3m (No. 166, hexagonal axes), with a = 8.8050 Å, b = 8.8050 Å, c = 24.4160 Å, α = 90.00°, β = 90.00° and γ = 120.00°. The asymmetric unit holds Y at (0.0000, 0.5000, 0.0000), Al at (0.0000, 0.0000, 0.0000), Tl at (0.0000, 0.0000, 0.5000), Tl at (0.0000, 0.5000, 0.5000), Te at (0.0000, 0.0000, 0.2612) and Te at (0.0199, 0.5100, 0.7344).

As for the uncorrected formation energy: -0.86 eV/atom. The value obtained for the total magnetization is 0.00 μB/f.u. The total energy comes out at -4.47 eV per atom.

---

Entry from Alexandria via LeMat-Bulk: crystalline YAlTlTe3 at its relaxed geometry (PBE-GGA).

It has space group P2_1/m (No. 11), with a = 9.256 Å, b = 4.566 Å, c = 10.412 Å, α = 90.00°, β = 110.73° and γ = 90.00°. The asymmetric unit holds Y at (0.176, 0.250, 0.138), Al at (0.396, 0.750, 0.380), Tl at (0.289, 0.750, 0.762), Te at (0.032, 0.250, 0.826), Te at (0.295, 0.250, 0.471) and Te at (0.406, 0.750, 0.122).

As for the uncorrected formation energy: -0.71 eV/atom. The value obtained for the total magnetization is 0.00 μB/f.u. The total energy comes out at -4.38 eV per atom.

---

Entry from Alexandria via LeMat-Bulk: crystalline Y2AlTlTe at its relaxed geometry (PBE-GGA).

It has space group P4/mmm (No. 123), with a = 5.695 Å, b = 5.695 Å, c = 5.863 Å, α = 90.00°, β = 90.00° and γ = 90.00°. The asymmetric unit holds Y at (0.000, 0.500, 0.000), Al at (0.000, 0.000, 0.500), Tl at (0.500, 0.500, 0.000) and Te at (0.500, 0.500, 0.500).

As for the uncorrected formation energy: 0.58 eV/atom. The value obtained for the total magnetization is 0.00 μB/f.u. The total energy comes out at -3.85 eV per atom.

---

Entry from Alexandria via LeMat-Bulk: crystalline AlTl2ZnTe4 at its relaxed geometry (PBE-GGA).

It has space group I-4 (No. 82), with a = 7.284 Å, b = 7.284 Å, c = 11.387 Å, α = 90.00°, β = 90.00° and γ = 90.00°. The asymmetric unit holds Al at (0.000, 0.000, 0.000), Tl at (0.000, 0.000, 0.500), Tl at (0.000, 0.500, 0.750), Zn at (0.000, 0.500, 0.250) and Te at (0.180, 0.245, 0.126).

As for the uncorrected formation energy: -0.29 eV/atom. The value obtained for the total magnetization is 0.00 μB/f.u. The total energy comes out at -3.08 eV per atom.